Model i:
Here is a geometry-optimized NaGa2CoBi structure from Alexandria. Energies are from GGA-PBE.

Calculated values
Theoretical density ... 6.30 Mg/m³
Total magnetic moment ... 0.00 μB/atom
DOS at the Fermi energy ... 0.604 states/eV/atom

Lattice parameters (Å, degrees): 4.6215 4.6215 5.3147 90.00 90.00 90.00
Space group P4/mmm (No. 123)
Unique sites:
Na (0.0000, 0.0000, 0.0000) [1 per cell]
Ga (0.0000, 0.5000, 0.5000) [2 per cell]
Co (0.5000, 0.5000, 0.5000) [1 per cell]
Bi (0.5000, 0.5000, 0.0000) [1 per cell]

***

Model ii:
Here is a geometry-optimized NaGa2CoBi structure from Alexandria. Energies are from GGA-PBE.

Calculated values
Theoretical density ... 3.95 Mg/m³
Total magnetic moment ... 0.44 μB/atom
DOS at the Fermi energy ... 2.916 states/eV/atom

Lattice parameters (Å, degrees): 5.5873 5.5873 5.8013 90.00 90.00 90.00
Space group P4/mmm (No. 123)
Unique sites:
Na (0.0000, 0.0000, 0.0000) [1 per cell]
Ga (0.0000, 0.5000, 0.5000) [2 per cell]
Co (0.5000, 0.5000, 0.0000) [1 per cell]
Bi (0.0000, 0.0000, 0.5000) [1 per cell]

***

Which of them is most stable, and which least? Most stable: model i; least stable: model ii.

***

Model i:
Here is a geometry-optimized TlGa2CoBi structure from Alexandria. Energies are from GGA-PBE.

Calculated values
Theoretical density ... 8.75 Mg/m³
Total magnetic moment ... 0.00 μB/atom
DOS at the Fermi energy ... 0.648 states/eV/atom

Lattice parameters (Å, degrees): 4.6826 4.6826 5.2961 90.00 90.00 90.00
Space group P4/mmm (No. 123)
Unique sites:
Tl (0.0000, 0.0000, 0.0000) [1 per cell]
Ga (0.0000, 0.5000, 0.5000) [2 per cell]
Co (0.5000, 0.5000, 0.5000) [1 per cell]
Bi (0.5000, 0.5000, 0.0000) [1 per cell]

***

Model ii:
Here is a geometry-optimized TlGa2CoBi structure from Alexandria. Energies are from GGA-PBE.

Calculated values
Theoretical density ... 6.57 Mg/m³
Total magnetic moment ... 0.23 μB/atom
DOS at the Fermi energy ... 0.769 states/eV/atom

Lattice parameters (Å, degrees): 5.6364 5.6364 4.8650 90.00 90.00 90.00
Space group P4/mmm (No. 123)
Unique sites:
Tl (0.0000, 0.0000, 0.0000) [1 per cell]
Ga (0.0000, 0.5000, 0.5000) [2 per cell]
Co (0.5000, 0.5000, 0.0000) [1 per cell]
Bi (0.5000, 0.5000, 0.5000) [1 per cell]

***

Which of them is most stable, and which least? Most stable: model i; least stable: model ii.

***

Model i:
Here is a geometry-optimized CoGeBi structure from Alexandria. Energies are from GGA-PBE.

Calculated values
Theoretical density ... 9.68 Mg/m³
Total magnetic moment ... 0.00 μB/atom
DOS at the Fermi energy ... 0.731 states/eV/atom

Lattice parameters (Å, degrees): 12.2450 3.8753 5.0552 90.00 103.02 90.00
Space group Cm (No. 8)
Unique sites:
Co (0.0000, 0.0000, 0.0000) [2 per cell]
Co (0.1929, 0.0000, 0.3426) [2 per cell]
Ge (0.0678, 0.5000, 0.2751) [2 per cell]
Ge (0.1428, 0.0000, 0.7677) [2 per cell]
Bi (0.2990, 0.5000, 0.1019) [2 per cell]
Bi (0.4145, 0.0000, 0.6471) [2 per cell]

***

Model ii:
Here is a geometry-optimized CoGeBi structure from Alexandria. Energies are from GGA-PBE.

Calculated values
Theoretical density ... 9.09 Mg/m³
Total magnetic moment ... 0.00 μB/atom
DOS at the Fermi energy ... 0.728 states/eV/atom

Lattice parameters (Å, degrees): 11.8758 3.7939 5.7229 90.00 105.24 90.00
Space group C2/m (No. 12)
Unique sites:
Co (0.2331, 0.0000, 0.1515) [4 per cell]
Ge (0.1134, 0.5000, 0.0439) [4 per cell]
Bi (0.1410, 0.0000, 0.5469) [4 per cell]

***

Which of them is most stable, and which least? Most stable: model ii; least stable: model i.

***

Model i:
Here is a geometry-optimized CoGeBi structure from Alexandria. Energies are from GGA-PBE.

Calculated values
Theoretical density ... 9.18 Mg/m³
Total magnetic moment ... 0.00 μB/atom
DOS at the Fermi energy ... 0.724 states/eV/atom

Lattice parameters (Å, degrees): 4.0286 4.7140 6.7545 73.89 88.69 89.91
Space group P-1 (No. 2)
Unique sites:
Co (0.2491, 0.3187, 0.0677) [2 per cell]
Ge (0.2454, 0.8115, 0.0924) [2 per cell]
Bi (0.2616, 0.6902, 0.6526) [2 per cell]

***

Model ii:
Here is a geometry-optimized CoGeBi structure from Alexandria. Energies are from GGA-PBE.

Calculated values
Theoretical density ... 9.43 Mg/m³
Total magnetic moment ... 0.00 μB/atom
DOS at the Fermi energy ... 0.831 states/eV/atom

Lattice parameters (Å, degrees): 11.7144 3.4409 5.9536 90.00 90.00 90.00
Space group Amm2 (No. 38)
Unique sites:
Co (0.0000, 0.0000, 0.0000) [2 per cell]
Co (0.5000, 0.0000, 0.0027) [2 per cell]
Ge (0.1185, 0.0000, 0.3335) [4 per cell]
Bi (0.3464, 0.0000, 0.6693) [4 per cell]

***

Which of them is most stable, and which least? Most stable: model i; least stable: model ii.

***

Model i:
Here is a geometry-optimized CoGeBi structure from Alexandria. Energies are from GGA-PBE.

Calculated values
Theoretical density ... 9.20 Mg/m³
Total magnetic moment ... 0.00 μB/atom
DOS at the Fermi energy ... 0.615 states/eV/atom

Lattice parameters (Å, degrees): 12.9636 4.3345 4.6901 90.00 111.05 90.00
Space group Cm (No. 8)
Unique sites:
Co (0.0000, 0.0000, 0.0000) [2 per cell]
Co (0.0886, 0.5000, 0.4113) [2 per cell]
Ge (0.0581, 0.0000, 0.5492) [2 per cell]
Ge (0.0713, 0.5000, 0.9002) [2 per cell]
Bi (0.3006, 0.5000, 0.5502) [2 per cell]
Bi (0.3656, 0.0000, 0.1045) [2 per cell]

***

Model ii:
Here is a geometry-optimized CoGeBi structure from Alexandria. Energies are from GGA-PBE.

Calculated values
Theoretical density ... 8.84 Mg/m³
Total magnetic moment ... 0.00 μB/atom
DOS at the Fermi energy ... 0.603 states/eV/atom

Lattice parameters (Å, degrees): 14.3577 3.8740 4.6757 90.00 100.39 90.00
Space group C2/m (No. 12)
Unique sites:
Co (0.2023, 0.0000, 0.3247) [4 per cell]
Ge (0.2080, 0.0000, 0.8221) [4 per cell]
Bi (0.0751, 0.5000, 0.2906) [4 per cell]

***

Model iii:
Here is a geometry-optimized CoGeBi structure from Alexandria. Energies are from GGA-PBE.

Calculated values
Theoretical density ... 8.84 Mg/m³
Total magnetic moment ... 0.00 μB/atom
DOS at the Fermi energy ... 0.677 states/eV/atom

Lattice parameters (Å, degrees): 12.1702 3.8973 5.5327 90.00 102.73 90.00
Space group C2/m (No. 12)
Unique sites:
Co (0.0848, 0.0000, 0.3939) [4 per cell]
Ge (0.0000, 0.0000, 0.0000) [2 per cell]
Ge (0.0000, 0.5000, 0.5000) [2 per cell]
Bi (0.2200, 0.5000, 0.2482) [4 per cell]

***

Which of them is most stable, and which least? Most stable: model ii; least stable: model i.

***

Model i:
Here is a geometry-optimized CoGeBi structure from Alexandria. Energies are from GGA-PBE.

Calculated values
Theoretical density ... 9.29 Mg/m³
Total magnetic moment ... 0.00 μB/atom
DOS at the Fermi energy ... 0.595 states/eV/atom

Lattice parameters (Å, degrees): 3.6572 5.2361 6.3602 90.00 90.00 90.00
Space group Pmm2 (No. 25)
Unique sites:
Co (0.0000, 0.2362, 0.0000) [2 per cell]
Ge (0.5000, 0.0000, 0.1873) [1 per cell]
Ge (0.5000, 0.5000, 0.9378) [1 per cell]
Bi (0.0000, 0.5000, 0.3689) [1 per cell]
Bi (0.5000, 0.0000, 0.6944) [1 per cell]

***

Model ii:
Here is a geometry-optimized CoGeBi structure from Alexandria. Energies are from GGA-PBE.

Calculated values
Theoretical density ... 9.80 Mg/m³
Total magnetic moment ... 0.00 μB/atom
DOS at the Fermi energy ... 0.438 states/eV/atom

Lattice parameters (Å, degrees): 4.7268 4.1981 6.0793 90.00 106.98 90.00
Space group P2_1/m (No. 11)
Unique sites:
Co (0.1079, 0.2500, 0.3796) [2 per cell]
Ge (0.3553, 0.7500, 0.5446) [2 per cell]
Bi (0.1976, 0.2500, 0.9038) [2 per cell]

***

Which of them is most stable, and which least? Most stable: model ii; least stable: model i.

***

Model i:
Here is a geometry-optimized CoBi2H structure from Alexandria. Energies are from GGA-PBE.

Calculated values
Theoretical density ... 9.03 Mg/m³
Total magnetic moment ... 0.00 μB/atom
DOS at the Fermi energy ... 0.427 states/eV/atom

Lattice parameters (Å, degrees): 5.2671 5.2671 12.6692 90.00 90.00 90.00
Space group I-42d (No. 122)
Unique sites:
Co (0.0000, 0.0000, 0.0000) [4 per cell]
Bi (0.2329, 0.2500, 0.6250) [8 per cell]
H (0.0000, 0.0000, 0.5000) [4 per cell]

***

Model ii:
Here is a geometry-optimized CoBi2H structure from Alexandria. Energies are from GGA-PBE.

Calculated values
Theoretical density ... 11.27 Mg/m³
Total magnetic moment ... 0.01 μB/atom
DOS at the Fermi energy ... 0.451 states/eV/atom

Lattice parameters (Å, degrees): 6.5546 6.5546 6.5546 90.00 90.00 90.00
Space group Fm-3m (No. 225)
Unique sites:
Co (0.0000, 0.0000, 0.0000) [4 per cell]
Bi (0.2500, 0.2500, 0.2500) [8 per cell]
H (0.0000, 0.0000, 0.5000) [4 per cell]

***

Which of them is most stable, and which least? Most stable: model ii; least stable: model i.

***

Model i:
Here is a geometry-optimized Co2BiH structure from Alexandria. Energies are from GGA-PBE.

Calculated values
Theoretical density ... 10.38 Mg/m³
Total magnetic moment ... 0.00 μB/atom
DOS at the Fermi energy ... 0.235 states/eV/atom

Lattice parameters (Å, degrees): 5.9419 5.9419 5.9419 90.00 90.00 90.00
Space group Fm-3m (No. 225)
Unique sites:
Co (0.2500, 0.2500, 0.2500) [8 per cell]
Bi (0.0000, 0.0000, 0.0000) [4 per cell]
H (0.0000, 0.0000, 0.5000) [4 per cell]

***

Model ii:
Here is a geometry-optimized Co2BiH structure from Alexandria. Energies are from GGA-PBE.

Calculated values
Theoretical density ... 10.47 Mg/m³
Total magnetic moment ... 0.55 μB/atom
DOS at the Fermi energy ... 1.228 states/eV/atom

Lattice parameters (Å, degrees): 5.3051 5.3051 7.3918 90.00 90.00 90.00
Space group I-42d (No. 122)
Unique sites:
Co (0.0570, 0.7500, 0.1250) [8 per cell]
Bi (0.0000, 0.0000, 0.5000) [4 per cell]
H (0.0000, 0.0000, 0.0000) [4 per cell]

***

Which of them is most stable, and which least? Most stable: model ii; least stable: model i.

***

Model i:
Here is a geometry-optimized CoBiH2 structure from Alexandria. Energies are from GGA-PBE.

Calculated values
Theoretical density ... 9.52 Mg/m³
Total magnetic moment ... 0.00 μB/atom
DOS at the Fermi energy ... 0.116 states/eV/atom

Lattice parameters (Å, degrees): 4.5437 4.5437 9.1211 90.00 90.00 90.00
Space group I4_1/amd (No. 141, origin choice 2)
Unique sites:
Co (0.0000, 0.2500, 0.3750) [4 per cell]
Bi (0.0000, 0.2500, 0.8750) [4 per cell]
H (0.0000, 0.0000, 0.5000) [8 per cell]

***

Model ii:
Here is a geometry-optimized CoBiH2 structure from Alexandria. Energies are from GGA-PBE.

Calculated values
Theoretical density ... 9.78 Mg/m³
Total magnetic moment ... 0.22 μB/atom
DOS at the Fermi energy ... 1.161 states/eV/atom

Lattice parameters (Å, degrees): 5.6816 5.6816 5.6816 90.00 90.00 90.00
Space group Fm-3m (No. 225)
Unique sites:
Co (0.0000, 0.0000, 0.0000) [4 per cell]
Bi (0.0000, 0.0000, 0.5000) [4 per cell]
H (0.2500, 0.2500, 0.2500) [8 per cell]

***

Which of them is most stable, and which least? Most stable: model i; least stable: model ii.

***

Model i:
Here is a geometry-optimized CoBiH structure from Alexandria. Energies are from GGA-PBE.

Calculated values
Theoretical density ... 10.66 Mg/m³
Total magnetic moment ... 0.00 μB/atom
DOS at the Fermi energy ... 0.672 states/eV/atom

Lattice parameters (Å, degrees): 9.7195 3.2402 5.3883 90.00 99.25 90.00
Space group C2/m (No. 12)
Unique sites:
Co (0.1061, 0.0000, 0.2028) [4 per cell]
Bi (0.1609, 0.0000, 0.7203) [4 per cell]
H (0.0674, 0.5000, 0.2071) [4 per cell]

***

Model ii:
Here is a geometry-optimized CoBiH structure from Alexandria. Energies are from GGA-PBE.

Calculated values
Theoretical density ... 8.48 Mg/m³
Total magnetic moment ... 0.07 μB/atom
DOS at the Fermi energy ... 0.795 states/eV/atom

Lattice parameters (Å, degrees): 3.8644 3.8644 7.0502 90.00 90.00 90.00
Space group P4/nmm (No. 129, origin choice 2)
Unique sites:
Co (0.2500, 0.7500, 0.0000) [2 per cell]
Bi (0.2500, 0.2500, 0.2363) [2 per cell]
H (0.2500, 0.2500, 0.4996) [2 per cell]

***

Which of them is most stable, and which least? Most stable: model i; least stable: model ii.

***

Model i:
Here is a geometry-optimized Hf6CoBi3 structure from Alexandria. Energies are from GGA-PBE.

Calculated values
Theoretical density ... 12.83 Mg/m³
Total magnetic moment ... 0.00 μB/atom
DOS at the Fermi energy ... 0.927 states/eV/atom

Lattice parameters (Å, degrees): 9.0245 5.2457 9.8984 90.00 103.93 90.00
Space group P2_1/m (No. 11)
Unique sites:
Hf (0.0634, 0.2500, 0.4176) [2 per cell]
Hf (0.1940, 0.7500, 0.1815) [2 per cell]
Hf (0.3128, 0.7500, 0.8089) [2 per cell]
Hf (0.3670, 0.2500, 0.0087) [2 per cell]
Hf (0.3737, 0.2500, 0.3164) [2 per cell]
Hf (0.4356, 0.2500, 0.6657) [2 per cell]
Co (0.4112, 0.7500, 0.0847) [2 per cell]
Bi (0.0515, 0.2500, 0.1093) [2 per cell]
Bi (0.1144, 0.2500, 0.7281) [2 per cell]
Bi (0.2931, 0.7500, 0.4947) [2 per cell]

***

Model ii:
Here is a geometry-optimized Hf6CoBi3 structure from Alexandria. Energies are from GGA-PBE.

Calculated values
Theoretical density ... 12.05 Mg/m³
Total magnetic moment ... 0.00 μB/atom
DOS at the Fermi energy ... 0.657 states/eV/atom

Lattice parameters (Å, degrees): 6.7731 7.7294 11.0840 90.00 123.44 90.00
Space group P2_1/c (No. 14)
Unique sites:
Hf (0.0353, 0.0659, 0.2299) [4 per cell]
Hf (0.2145, 0.7331, 0.0591) [4 per cell]
Hf (0.3703, 0.1340, 0.0400) [4 per cell]
Co (0.0000, 0.0000, 0.0000) [2 per cell]
Bi (0.2975, 0.1144, 0.7251) [4 per cell]
Bi (0.5000, 0.0000, 0.5000) [2 per cell]

***

Which of them is most stable, and which least? Most stable: model i; least stable: model ii.